Density functional theory data (PBE-GGA) for a relaxed structure of RbScI3.

Computed properties:
Space group: P-1
Total moment: 0.4 μB/f.u.
Relative energy among the computed polymorphs: 0.000 eV/atom
Formation energy without anion corrections: -6.31 eV per formula unit
Total DFT energy (no corrections): -3.652 eV per atom

abc: 8.4970 6.5845 8.4985
angles: 89.90 119.96 89.67
Closest atoms and distances in Å follow each position.
Sites, in units of the cell vectors:
Rb 0.6590 0.4008 0.0751  9 I 3.79-4.17
Rb 0.3263 0.9006 0.4089  9 I 3.79-4.17
Sc 0.9928 0.1508 0.7420  6 I 2.98, 2 Sc 3.29
Sc 0.9928 0.6508 0.7420  6 I 2.98, 2 Sc 3.29
I 0.6608 0.4036 0.5221  2 Sc 2.98
I 0.2129 0.3995 0.6300  2 Sc 2.98
I 0.7726 0.9021 0.8539  2 Sc 2.98
I 0.1046 0.3991 0.0739  2 Sc 2.98
I 0.8809 0.9024 0.4100  2 Sc 2.98
I 0.3247 0.8979 0.9620  2 Sc 2.98

=====

Density functional theory data (PBE-GGA) for a relaxed structure of RbSc2I.

Computed properties:
Space group: Fm-3m
Total moment: 0.0 μB/f.u.
Relative energy among the computed polymorphs: 0.404 eV/atom
Formation energy without anion corrections: 2.52 eV per formula unit
Total DFT energy (no corrections): -3.166 eV per atom

abc: 5.5182 5.5182 5.5182
angles: 60.00 60.00 60.00
Closest atoms and distances in Å follow each position.
Sites, in units of the cell vectors:
I 0.5000 0.5000 0.5000  8 Sc 3.38
Sc 0.7500 0.7500 0.7500  4 Rb 3.38, 4 I 3.38
Sc 0.2500 0.2500 0.2500  4 I 3.38, 4 Rb 3.38
Rb 0.0000 0.0000 0.0000  8 Sc 3.38

=====

Density functional theory data (PBE-GGA) for a relaxed structure of Rb2ScSiI6.

Computed properties:
Space group: I4/mmm
Total moment: 1.0 μB/f.u.
Formation energy without anion corrections: -8.83 eV per formula unit
Total DFT energy (no corrections): -3.182 eV per atom

abc: 8.3503 8.3503 8.4604
angles: 60.43 60.43 90.00
Closest atoms and distances in Å follow each position.
Sites, in units of the cell vectors:
Rb 0.2500 0.7500 0.5000  12 I 4.18-4.23
Rb 0.7500 0.2500 0.5000  12 I 4.18-4.23
Sc 0.0000 0.0000 0.0000  6 I 2.94
I 0.7576 0.7576 0.4849  1 Sc 2.94, 1 Si 3.12
I 0.7513 0.2487 0.0000  1 Sc 2.94, 1 Si 2.97
I 0.7513 0.7513 0.0000  1 Sc 2.94, 1 Si 2.97
I 0.2424 0.2424 0.5151  1 Sc 2.94, 1 Si 3.12
I 0.2487 0.7513 0.0000  1 Sc 2.94, 1 Si 2.97
I 0.2487 0.2487 0.0000  1 Sc 2.94, 1 Si 2.97
Si 0.5000 0.5000 0.0000  6 I 2.97-3.12

=====

Density functional theory data (PBE-GGA) for a relaxed structure of RbSmScI6.

Computed properties:
Space group: P-31c
Total moment: 1.0 μB/f.u.
Formation energy without anion corrections: -11.71 eV per formula unit
Total DFT energy (no corrections): -3.670 eV per atom

abc: 7.7335 7.7335 16.9665
angles: 90.00 90.00 120.00
Closest atoms and distances in Å follow each position.
Sites, in units of the cell vectors:
I 0.6446 0.0133 0.8547  1 Sc 2.98, 1 Sm 3.11
I 0.3554 0.9867 0.1453  1 Sc 2.98, 1 Sm 3.11
I 0.3687 0.3554 0.8547  1 Sc 2.98, 1 Sm 3.11
I 0.9867 0.6313 0.8547  1 Sc 2.98, 1 Sm 3.11
I 0.0133 0.3687 0.1453  1 Sc 2.98, 1 Sm 3.11
I 0.0133 0.6446 0.3547  1 Sc 2.98, 1 Sm 3.11
I 0.6313 0.6446 0.1453  1 Sc 2.98, 1 Sm 3.11
I 0.6313 0.9867 0.3547  1 Sc 2.98, 1 Sm 3.11
I 0.3687 0.0133 0.6453  1 Sc 2.98, 1 Sm 3.11
I 0.6446 0.6313 0.6453  1 Sc 2.98, 1 Sm 3.11
I 0.9867 0.3554 0.6453  1 Sc 2.98, 1 Sm 3.11
I 0.3554 0.3687 0.3547  1 Sc 2.98, 1 Sm 3.11
Sm 0.3333 0.6667 0.7500  6 I 3.11
Sm 0.6667 0.3333 0.2500  6 I 3.11
Rb 0.0000 0.0000 0.0000  6 I 3.73
Rb 0.0000 0.0000 0.5000  6 I 3.73
Sc 0.6667 0.3333 0.7500  6 I 2.98
Sc 0.3333 0.6667 0.2500  6 I 2.98

=====

Number 1: V 411.9 Å³/cell. Number 2: V 118.8 Å³/cell. Number 3: V 422.5 Å³/cell. Number 4: V 878.8 Å³/cell.